(1)
Entry from the Alexandria database: a relaxed structure of CoIrNO2 (PBE with a Hubbard U). Values from VASP.

Quantum ESPRESSO input file:
```
&SYSTEM
  ibrav = 0, nat = 5, ntyp = 4
/
ATOMIC_SPECIES
Co 58.93 Co.upf
Ir 192.22 Ir.upf
N 14.01 N.upf
O 16.00 O.upf
CELL_PARAMETERS angstrom
3.6393 0.0000 0.0000
0.0000 3.6393 0.0000
0.0000 0.0000 3.6939
ATOMIC_POSITIONS crystal
Co 0.0000 0.0000 0.0000
Ir 0.5000 0.5000 0.5000
N 0.0000 0.0000 0.5000
O 0.0000 0.5000 0.0000
O 0.5000 0.0000 0.0000
```

magnetic moment = 0.13 μB/f.u.
symmetry = P4/mmm
uncorrected energy = -27.57 eV per formula unit

=====

(2)
Entry from the Alexandria database: a relaxed structure of CoIrN2O (PBE with a Hubbard U). Values from VASP.

Quantum ESPRESSO input file:
```
&SYSTEM
  ibrav = 0, nat = 5, ntyp = 4
/
ATOMIC_SPECIES
Co 58.93 Co.upf
Ir 192.22 Ir.upf
N 14.01 N.upf
O 16.00 O.upf
CELL_PARAMETERS angstrom
3.6300 0.0000 0.0000
0.0000 3.6300 0.0000
0.0000 0.0000 3.6713
ATOMIC_POSITIONS crystal
Co 0.0000 0.0000 0.0000
Ir 0.5000 0.5000 0.5000
N 0.0000 0.5000 0.0000
N 0.5000 0.0000 0.0000
O 0.0000 0.0000 0.5000
```

magnetic moment = 0.00 μB/f.u.
symmetry = P4/mmm
uncorrected energy = -28.44 eV per formula unit

=====

> Look up the uncorrected energy of the first one.

-27.57 eV per formula unit